Material: SrVN2O
Method: DFT, GGA+U
State: optimized geometry

abc: 3.6926 7.7355 3.6926
angles: 90.00 90.00 90.00
Fractional coordinates of all 5 atoms:
V 0.0000 0.0000 0.0000
N 0.5000 0.0000 0.0000
N 0.0000 0.0000 0.5000
O 0.5000 0.5000 0.5000
Sr 0.0000 0.5000 0.0000

Results
ρ: 2.9 g cm⁻³
energy: -6.198 eV/atom
symmetry: P4/mmm (123)